Computed, not measured: a relaxed CsBSb2Te crystal at the PBE level of DFT.

POSCAR file:
```
CsBSb2Te
1.0
5.127 0.000 0.000
0.000 5.127 0.000
0.000 0.000 5.410
Cs Sb B Te
1 2 1 1
Direct
0.500 0.500 0.500
0.000 0.500 0.000
0.500 0.000 0.000
0.000 0.000 0.000
0.000 0.000 0.500
```

Symmetry = P4/mmm
Magnetization = 0.000 μB per formula unit
Uncorrected formation energy = 0.5226 eV/atom